Tb2Dy5In5 | GGA-PBE | optimized geometry

Results
The calculation puts the formation energy at -0.31 eV per atom.

Lattice parameters (Å, degrees): 5.1001 6.4683 11.9050 107.99 90.00 113.22
Positions (direct):
Tb1 0.0730 0.1461 0.7580
Tb2 0.9270 0.8539 0.2420
Dy1 0.5000 0.0000 0.5000
Dy2 0.6522 0.3045 0.0020
Dy3 0.6329 0.2657 0.2766
Dy4 0.3671 0.7343 0.7234
Dy5 0.3478 0.6955 0.9980
In1 0.1678 0.3356 0.4652
In2 0.7383 0.4767 0.7775
In3 0.2616 0.5233 0.2225
In4 0.8322 0.6644 0.5348
In5 0.0000 0.0000 0.0000

***

Tb3Dy3In5 | GGA-PBE | optimized geometry

Results
The calculation puts the formation energy at 0.41 eV per atom.

Lattice parameters (Å, degrees): 6.1112 8.8894 8.8894 120.00 90.00 90.00
Positions (direct):
Tb1 0.0000 0.7604 0.7604
Tb2 0.0000 0.2396 0.0000
Tb3 0.0000 0.0000 0.2396
Dy1 0.5000 0.7652 0.7652
Dy2 0.5000 0.0000 0.2348
Dy3 0.5000 0.2348 0.0000
In1 0.5000 0.3333 0.6667
In2 0.5000 0.6667 0.3333
In3 0.5000 0.3910 0.3910
In4 0.5000 0.0000 0.6090
In5 0.5000 0.6090 0.0000

***

Tb5DyIn | GGA-PBE | optimized geometry

Results
The calculation puts the formation energy at 0.71 eV per atom.

Lattice parameters (Å, degrees): 6.1492 7.9362 7.6456 121.27 113.71 90.00
Positions (direct):
Tb1 0.4514 0.2533 0.5067
Tb2 0.4025 0.5000 0.0000
Tb3 0.9448 0.7467 0.4933
Tb4 0.1190 0.1857 0.0000
Tb5 0.1190 0.8143 0.0000
Dy1 0.6165 0.0000 0.0000
In1 0.8774 0.5000 0.0000

***

Tb2Dy3In3 | GGA-PBE | optimized geometry

Results
The calculation puts the formation energy at -0.36 eV per atom.

Lattice parameters (Å, degrees): 3.7690 5.3331 11.6311 103.25 99.32 90.00
Positions (direct):
Tb1 0.2654 0.7654 0.5309
Tb2 0.7346 0.2346 0.4691
Dy1 0.3761 0.3761 0.7522
Dy2 0.6239 0.6239 0.2478
Dy3 0.5000 0.0000 0.0000
In1 0.8815 0.8815 0.7629
In2 0.0000 0.5000 0.0000
In3 0.1185 0.1185 0.2371

***

Tb5Dy3In2 | GGA-PBE | optimized geometry

Results
The calculation puts the formation energy at 0.11 eV per atom.

Lattice parameters (Å, degrees): 6.3593 10.5676 10.5676 95.03 72.49 72.49
Positions (direct):
Tb1 0.2500 0.5000 0.5000
Tb2 0.7500 0.5000 0.5000
Tb3 0.4999 0.7501 0.7501
Tb4 0.0001 0.2499 0.2499
Tb5 0.5001 0.2499 0.2499
Tb6 0.9999 0.7501 0.7501
Tb7 0.1273 0.5366 0.2088
Tb8 0.8727 0.4634 0.7912
Tb9 0.6273 0.2088 0.5366
Tb10 0.3727 0.7912 0.4634
Dy1 0.2500 0.0000 0.0000
Dy2 0.7500 0.0000 0.0000
Dy3 0.3903 0.3418 0.8776
Dy4 0.6097 0.6582 0.1224
Dy5 0.8903 0.8776 0.3418
Dy6 0.1097 0.1224 0.6582
In1 0.1331 0.7206 0.0133
In2 0.8669 0.2794 0.9867
In3 0.6331 0.0133 0.7206
In4 0.3669 0.9867 0.2794

***

Tb6DyIn5 | GGA-PBE | optimized geometry

Results
The calculation puts the formation energy at -0.39 eV per atom.

Lattice parameters (Å, degrees): 4.9797 8.8524 9.0788 119.18 105.92 90.00
Positions (direct):
In1 0.6521 0.1521 0.3041
In2 0.3239 0.3239 0.6478
In3 0.0000 0.5000 0.0000
In4 0.6761 0.6761 0.3522
In5 0.3479 0.8479 0.6959
Tb1 0.8300 0.5674 0.6600
Tb2 0.8300 0.0926 0.6600
Tb3 0.5000 0.7296 0.0000
Tb4 0.5000 0.2704 0.0000
Tb5 0.1700 0.9074 0.3400
Tb6 0.1700 0.4326 0.3400
Dy1 0.0000 0.0000 0.0000